# 1
Computed, not measured: SmBePPt after structural relaxation at the PBE level of DFT.

POSCAR file:
```
SmBePPt
1.0
4.0584 0.0000 0.0000
0.0000 4.0584 0.0000
0.0000 0.0000 8.7737
Sm Be P Pt
2 2 2 2
Direct
0.2500 0.2500 0.1870 Sm
0.7500 0.7500 0.8130 Sm
0.2500 0.2500 0.6217 Be
0.7500 0.7500 0.3783 Be
0.2500 0.2500 0.8607 P
0.7500 0.7500 0.1393 P
0.2500 0.7500 0.5000 Pt
0.7500 0.2500 0.5000 Pt
```

DOS at the Fermi energy: 1.77 states/eV/cell
E: -6.059 eV/atom
space group: P4/nmm, No. 129
ΔE_f: -104.67 kJ per mole of atoms

# 2
Computed, not measured: Sm2BePPt6 after structural relaxation at the PBE level of DFT.

POSCAR file:
```
Sm2BePPt6
1.0
5.6089 0.0000 0.0000
0.0000 8.5460 0.0000
0.0000 0.0000 7.7424
Sm Be P Pt
4 2 2 12
Direct
0.2500 0.0081 0.2299 Sm
0.2500 0.4919 0.2299 Sm
0.7500 0.5081 0.7701 Sm
0.7500 0.9919 0.7701 Sm
0.2500 0.7500 0.7550 Be
0.7500 0.2500 0.2450 Be
0.2500 0.2500 0.7610 P
0.7500 0.7500 0.2390 P
0.0020 0.7500 0.5119 Pt
0.0095 0.7500 0.0029 Pt
0.2500 0.0018 0.6323 Pt
0.2500 0.4982 0.6323 Pt
0.4905 0.7500 0.0029 Pt
0.4980 0.7500 0.5119 Pt
0.5020 0.2500 0.4881 Pt
0.5095 0.2500 0.9971 Pt
0.7500 0.5018 0.3677 Pt
0.7500 0.9982 0.3677 Pt
0.9905 0.2500 0.9971 Pt
0.9980 0.2500 0.4881 Pt
```

DOS at the Fermi energy: 4.66 states/eV/cell
E: -6.403 eV/atom
space group: Pmmn, No. 59
ΔE_f: -88.88 kJ per mole of atoms

# 3
Computed, not measured: TbBePPt after structural relaxation at the PBE level of DFT.

POSCAR file:
```
TbBePPt
1.0
4.0028 0.0000 0.0000
0.0000 4.0028 0.0000
0.0000 0.0000 8.7577
Tb Be P Pt
2 2 2 2
Direct
0.2500 0.2500 0.1859 Tb
0.7500 0.7500 0.8141 Tb
0.2500 0.2500 0.6253 Be
0.7500 0.7500 0.3747 Be
0.2500 0.2500 0.8638 P
0.7500 0.7500 0.1362 P
0.2500 0.7500 0.5000 Pt
0.7500 0.2500 0.5000 Pt
```

DOS at the Fermi energy: 2.00 states/eV/cell
E: -6.041 eV/atom
space group: P4/nmm, No. 129
ΔE_f: -105.05 kJ per mole of atoms